(1)
Entry from Alexandria: a relaxed structure of HfTi3Os (PBE-GGA).

Structure (CIF):
```
data_HfTi3Os
_symmetry_space_group_name_H-M 'P m -3 m'
_symmetry_Int_Tables_number 221
_symmetry_space_group_name_Hall '-P 4 2 3'
_cell_length_a 4.7229
_cell_length_b 4.7229
_cell_length_c 4.7229
_cell_angle_alpha 90.00
_cell_angle_beta 90.00
_cell_angle_gamma 90.00
loop_
_atom_site_label
_atom_site_type_symbol
_atom_site_fract_x
_atom_site_fract_y
_atom_site_fract_z
Hf1 Hf 0.0000 0.0000 0.0000
Ti1 Ti 0.0000 0.5000 0.5000
Os1 Os 0.5000 0.5000 0.5000
```

Values from the calculation:
calculated total energy = -8.529 eV/atom
DFT formation energy = 0.444 eV per atom
magnetic moment = 0.000 μB per cell
crystal system = cubic

(2)
Entry from Alexandria: a relaxed structure of HfTiOs (PBE-GGA).

Structure (CIF):
```
data_HfTiOs
_symmetry_space_group_name_H-M 'C 1 2/m 1'
_symmetry_Int_Tables_number 12
_cell_length_a 10.5398
_cell_length_b 3.2016
_cell_length_c 6.3821
_cell_angle_alpha 90.00
_cell_angle_beta 107.23
_cell_angle_gamma 90.00
loop_
_symmetry_equiv_pos_as_xyz
'x,y,z'
'-x,-y,-z'
'-x,y,-z'
'x,-y,z'
'x+1/2,y+1/2,z'
'-x+1/2,-y+1/2,-z'
'-x+1/2,y+1/2,-z'
'x+1/2,-y+1/2,z'
loop_
_atom_site_label
_atom_site_type_symbol
_atom_site_fract_x
_atom_site_fract_y
_atom_site_fract_z
Hf1 Hf 0.1554 0.0000 0.3233
Ti1 Ti 0.1538 0.0000 0.8302
Os1 Os 0.0000 0.5000 0.0000
Os2 Os 0.0000 0.5000 0.5000
```

Values from the calculation:
calculated total energy = -10.097 eV/atom
DFT formation energy = -0.404 eV per atom
magnetic moment = 0.000 μB per cell
crystal system = monoclinic

(3)
Entry from Alexandria: a relaxed structure of Hf4Ti2Os (PBE-GGA).

Structure (CIF):
```
data_Hf4Ti2Os
_symmetry_space_group_name_H-M 'I 4/m m m'
_symmetry_Int_Tables_number 139
_symmetry_space_group_name_Hall '-I 4 2'
_cell_length_a 5.0448
_cell_length_b 5.0448
_cell_length_c 13.2038
_cell_angle_alpha 90.00
_cell_angle_beta 90.00
_cell_angle_gamma 90.00
loop_
_atom_site_label
_atom_site_type_symbol
_atom_site_fract_x
_atom_site_fract_y
_atom_site_fract_z
Hf1 Hf 0.0000 0.0000 0.1914
Hf2 Hf 0.0000 0.5000 0.0000
Ti1 Ti 0.0000 0.0000 0.3959
Os1 Os 0.0000 0.0000 0.0000
```

Values from the calculation:
calculated total energy = -8.812 eV/atom
DFT formation energy = 0.736 eV per atom
magnetic moment = 0.932 μB per cell
crystal system = tetragonal

(4)
Entry from Alexandria: a relaxed structure of HfTiOs (PBE-GGA).

Structure (CIF):
```
data_HfTiOs
_symmetry_space_group_name_H-M 'C m m m'
_symmetry_Int_Tables_number 65
_symmetry_space_group_name_Hall '-C 2 2'
_cell_length_a 4.5193
_cell_length_b 10.1214
_cell_length_c 4.4901
_cell_angle_alpha 90.00
_cell_angle_beta 90.00
_cell_angle_gamma 90.00
loop_
_atom_site_label
_atom_site_type_symbol
_atom_site_fract_x
_atom_site_fract_y
_atom_site_fract_z
Hf1 Hf 0.0000 0.1561 0.0000
Ti1 Ti 0.0000 0.3471 0.5000
Os1 Os 0.0000 0.0000 0.5000
Os2 Os 0.0000 0.5000 0.0000
```

Values from the calculation:
calculated total energy = -10.096 eV/atom
DFT formation energy = -0.403 eV per atom
magnetic moment = 0.000 μB per cell
crystal system = orthorhombic

Which formula does entry 1 have? HfTi3Os

Look up the calculated total energy of the second one. -10.097 eV/atom

Which value of calculated total energy does entry 4 give? -10.096 eV/atom